Entry 1:
# LiCa5Tl4

LiCa5Tl4 after structural relaxation (PBE-GGA, the Alexandria database).

Properties
The calculation puts the density of states at the Fermi level at 0.85 states/eV/atom. For the formation energy, the calculation gives -356.8 meV/atom.

Unit cell a=3.9306 b=3.9306 c=19.2153 alpha=90.00 beta=90.00 gamma=90.00
Space group P4/mmm (No. 123)
Inequivalent atoms, fractional coordinates:
Li  0.0000  0.0000  0.0000
Ca  0.5000  0.5000  0.1050
Ca  0.5000  0.5000  0.3009
Ca  0.5000  0.5000  0.5000
Tl  0.0000  0.0000  0.1999
Tl  0.0000  0.0000  0.4003



Entry 2:
# ReTeBr2

ReTeBr2 after structural relaxation (PBE-GGA, the Alexandria database).

Properties
The calculation puts the density of states at the Fermi level at 0.52 states/eV/atom. The energy relative to the lowest polymorph listed for this composition is 114 meV/atom. The uncorrected formation energy is 6.093 kcal/mol of atoms.

Unit cell a=6.6404 b=4.0811 c=8.6188 alpha=90.00 beta=90.55 gamma=90.00
Space group Cm (No. 8)
Inequivalent atoms, fractional coordinates:
Re  0.0000  0.0000  0.0000
Te  0.3439  0.0000  0.8571
Br  0.1585  0.5000  0.1800
Br  0.3255  0.0000  0.5554



Entry 3:
# TeRh2

TeRh2 after structural relaxation (PBE-GGA, the Alexandria database).

Properties
The calculation puts the density of states at the Fermi level at 0.90 states/eV/atom. The energy relative to the lowest polymorph listed for this composition is 143 meV/atom. The uncorrected formation energy is -0.603 kcal/mol of atoms.

Unit cell a=11.4462 b=3.5192 c=6.3937 alpha=90.00 beta=122.54 gamma=90.00
Space group C2/m (No. 12)
Inequivalent atoms, fractional coordinates:
Te  0.1763  0.0000  0.2136
Rh  0.0730  0.5000  0.3882
Rh  0.1414  0.0000  0.7847



Entry 4:
# AcPm3Si2

AcPm3Si2 after structural relaxation (PBE-GGA, the Alexandria database).

Properties
The calculation puts the density of states at the Fermi level at 0.95 states/eV/atom. The uncorrected formation energy is -10.079 kcal/mol of atoms.

Unit cell a=17.7773 b=4.5347 c=9.3876 alpha=90.00 beta=112.85 gamma=90.00
Space group C2/m (No. 12)
Inequivalent atoms, fractional coordinates:
Ac  0.1180  0.0000  0.1404
Pm  0.0486  0.0000  0.6954
Pm  0.1503  0.5000  0.4777
Pm  0.1905  0.5000  0.8834
Si  0.0125  0.5000  0.8761
Si  0.2292  0.0000  0.7026



Number 4 is which compound? AcPm3Si2



What did the second record say?
# ReTeBr2

ReTeBr2 after structural relaxation (PBE-GGA, the Alexandria database).

Properties
The calculation puts the density of states at the Fermi level at 0.52 states/eV/atom. The energy relative to the lowest polymorph listed for this composition is 114 meV/atom. The uncorrected formation energy is 6.093 kcal/mol of atoms.

Unit cell a=6.6404 b=4.0811 c=8.6188 alpha=90.00 beta=90.55 gamma=90.00
Space group Cm (No. 8)
Inequivalent atoms, fractional coordinates:
Re  0.0000  0.0000  0.0000
Te  0.3439  0.0000  0.8571
Br  0.1585  0.5000  0.1800
Br  0.3255  0.0000  0.5554



What is the formula in the third record? TeRh2